# 1
# PBE NiIr, relaxed
data_NiIr
_cell_length_a 2.698
_cell_length_b 4.430
_cell_length_c 4.570
_cell_angle_alpha 100.13
_cell_angle_beta 107.17
_cell_angle_gamma 90.00
_space_group_name_H-M_alt 'P 1'
_space_group_IT_number 1
_space_group_name_Hall 'P 1'
loop_
_atom_site_label
_atom_site_fract_x
_atom_site_fract_y
_atom_site_fract_z
_atom_site_occupancy
Ni1 0.374 0.116 0.749 1
Ni2 0.626 0.884 0.251 1
Ir1 0.125 0.380 0.250 1
Ir2 0.875 0.620 0.750 1
# * E: -29.31 eV for the cell shown
# * symmetry: C2/m, No. 12
# * energy of formation from the pure elements: -6 meV/atom

***

# 2
# PBE TbBe2Os, relaxed
data_TbBe2Os
_cell_length_a 3.895
_cell_length_b 3.895
_cell_length_c 5.289
_cell_angle_alpha 68.39
_cell_angle_beta 68.39
_cell_angle_gamma 60.00
_space_group_name_H-M_alt 'P 1'
_space_group_IT_number 1
_space_group_name_Hall 'P 1'
loop_
_atom_site_label
_atom_site_fract_x
_atom_site_fract_y
_atom_site_fract_z
_atom_site_occupancy
Be1 0.304 0.304 0.087 1
Be2 0.696 0.696 0.913 1
Os1 0.000 0.000 0.000 1
Tb1 0.500 0.500 0.500 1
# * E: -24.00 eV for the cell shown
# * symmetry: R-3m, No. 166
# * energy of formation from the pure elements: -172 meV/atom

***

# 3
# PBE Ac2La8Pr3, relaxed
data_Ac2La8Pr3
_cell_length_a 6.421
_cell_length_b 9.210
_cell_length_c 9.210
_cell_angle_alpha 83.36
_cell_angle_beta 72.59
_cell_angle_gamma 72.59
_space_group_name_H-M_alt 'P 1'
_space_group_IT_number 1
_space_group_name_Hall 'P 1'
loop_
_atom_site_label
_atom_site_fract_x
_atom_site_fract_y
_atom_site_fract_z
_atom_site_occupancy
Ac1 0.660 0.697 0.697 1
Ac2 0.340 0.303 0.303 1
La1 0.322 0.423 0.916 1
La2 0.322 0.916 0.423 1
La3 0.749 0.424 0.424 1
La4 0.953 0.148 0.148 1
La5 0.678 0.084 0.577 1
La6 0.678 0.577 0.084 1
La7 0.047 0.852 0.852 1
La8 0.251 0.576 0.576 1
Pr1 0.000 0.249 0.751 1
Pr2 0.500 0.000 0.000 1
Pr3 0.000 0.751 0.249 1
# * E: -60.12 eV for the cell shown
# * symmetry: C2/m, No. 12
# * energy of formation from the pure elements: 143 meV/atom
# * offset from the most stable computed form: 0.000 eV/f.u.

***

# 4
# PBE DyZnPt6, relaxed
data_DyZnPt6
_cell_length_a 4.055
_cell_length_b 4.055
_cell_length_c 7.955
_cell_angle_alpha 90.00
_cell_angle_beta 90.00
_cell_angle_gamma 90.00
_space_group_name_H-M_alt 'P 1'
_space_group_IT_number 1
_space_group_name_Hall 'P 1'
loop_
_atom_site_label
_atom_site_fract_x
_atom_site_fract_y
_atom_site_fract_z
_atom_site_occupancy
Dy1 0.000 0.000 0.000 1
Pt1 0.500 0.000 0.735 1
Pt2 0.000 0.500 0.265 1
Pt3 0.500 0.500 0.500 1
Pt4 0.500 0.500 0.000 1
Pt5 0.500 0.000 0.265 1
Pt6 0.000 0.500 0.735 1
Zn1 0.000 0.000 0.500 1
# * E: -47.57 eV for the cell shown
# * symmetry: P4/mmm, No. 123
# * energy of formation from the pure elements: -682 meV/atom

***

# 5
# PBE PrNdPb, relaxed
data_PrNdPb
_cell_length_a 4.717
_cell_length_b 4.717
_cell_length_c 8.988
_cell_angle_alpha 90.01
_cell_angle_beta 90.01
_cell_angle_gamma 90.00
_space_group_name_H-M_alt 'P 1'
_space_group_IT_number 1
_space_group_name_Hall 'P 1'
loop_
_atom_site_label
_atom_site_fract_x
_atom_site_fract_y
_atom_site_fract_z
_atom_site_occupancy
Pr1 0.314 0.367 0.268 1
Pr2 0.813 0.866 0.571 1
Pb1 0.814 0.867 0.201 1
Pb2 0.313 0.366 0.638 1
Nd1 0.814 0.366 0.920 1
Nd2 0.314 0.867 0.920 1
# * E: -29.19 eV for the cell shown
# * symmetry: P4/nmm, No. 129
# * energy of formation from the pure elements: -446 meV/atom
# * offset from the most stable computed form: 0.000 eV/f.u.

***

# 6
# PBE RbGeRh2, relaxed
data_RbGeRh2
_cell_length_a 5.110
_cell_length_b 5.110
_cell_length_c 8.882
_cell_angle_alpha 73.28
_cell_angle_beta 73.28
_cell_angle_gamma 90.00
_space_group_name_H-M_alt 'P 1'
_space_group_IT_number 1
_space_group_name_Hall 'P 1'
loop_
_atom_site_label
_atom_site_fract_x
_atom_site_fract_y
_atom_site_fract_z
_atom_site_occupancy
Rh1 0.375 0.559 0.750 1
Rh2 0.309 0.625 0.250 1
Rh3 0.875 0.691 0.750 1
Rh4 0.441 0.125 0.250 1
Ge1 0.500 0.500 0.000 1
Ge2 0.250 0.750 0.500 1
Rb1 0.750 0.250 0.500 1
Rb2 0.000 0.000 0.000 1
# * E: -38.01 eV for the cell shown
# * symmetry: I-42d, No. 122
# * energy of formation from the pure elements: 321 meV/atom

***

# 7
# PBE HfTePO2, relaxed
data_HfTePO2
_cell_length_a 4.015
_cell_length_b 4.015
_cell_length_c 5.683
_cell_angle_alpha 90.00
_cell_angle_beta 90.00
_cell_angle_gamma 90.00
_space_group_name_H-M_alt 'P 1'
_space_group_IT_number 1
_space_group_name_Hall 'P 1'
loop_
_atom_site_label
_atom_site_fract_x
_atom_site_fract_y
_atom_site_fract_z
_atom_site_occupancy
Te1 0.500 0.500 0.500 1
O1 0.500 0.000 0.000 1
O2 0.000 0.500 0.000 1
Hf1 0.000 0.000 0.000 1
P1 0.000 0.000 0.500 1
# * E: -35.30 eV for the cell shown
# * symmetry: P4/mmm, No. 123
# * offset from the most stable computed form: 0.000 eV/f.u.
# * formation energy without anion corrections: -1.38 eV/atom

***

# 8
# PBE KCr2Cl, relaxed
data_KCr2Cl
_cell_length_a 3.372
_cell_length_b 3.372
_cell_length_c 7.737
_cell_angle_alpha 90.00
_cell_angle_beta 90.00
_cell_angle_gamma 89.98
_space_group_name_H-M_alt 'P 1'
_space_group_IT_number 1
_space_group_name_Hall 'P 1'
loop_
_atom_site_label
_atom_site_fract_x
_atom_site_fract_y
_atom_site_fract_z
_atom_site_occupancy
Cr1 0.000 0.000 0.039 1
Cr2 0.500 0.500 0.164 1
K1 0.000 0.000 0.525 1
Cl1 0.500 0.500 0.773 1
# * E: -21.94 eV for the cell shown
# * symmetry: P4mm, No. 99
# * offset from the most stable computed form: 0.229 eV/f.u.
# * formation energy without anion corrections: 0.06 eV/atom

***

# 9
# PBE Tl2Re, relaxed
data_Tl2Re
_cell_length_a 13.262
_cell_length_b 13.262
_cell_length_c 4.045
_cell_angle_alpha 90.00
_cell_angle_beta 90.00
_cell_angle_gamma 166.63
_space_group_name_H-M_alt 'P 1'
_space_group_IT_number 1
_space_group_name_Hall 'P 1'
loop_
_atom_site_label
_atom_site_fract_x
_atom_site_fract_y
_atom_site_fract_z
_atom_site_occupancy
Tl1 0.446 0.554 0.750 1
Tl2 0.154 0.846 0.750 1
Tl3 0.846 0.154 0.250 1
Tl4 0.554 0.446 0.250 1
Re1 0.247 0.753 0.250 1
Re2 0.753 0.247 0.750 1
# * E: -30.96 eV for the cell shown
# * symmetry: Cmcm, No. 63
# * energy of formation from the pure elements: 566 meV/atom
# * offset from the most stable computed form: 0.000 eV/f.u.

***

# 10
# PBE LaPr2Er, relaxed
data_LaPr2Er
_cell_length_a 3.567
_cell_length_b 3.567
_cell_length_c 12.942
_cell_angle_alpha 82.08
_cell_angle_beta 82.08
_cell_angle_gamma 60.00
_space_group_name_H-M_alt 'P 1'
_space_group_IT_number 1
_space_group_name_Hall 'P 1'
loop_
_atom_site_label
_atom_site_fract_x
_atom_site_fract_y
_atom_site_fract_z
_atom_site_occupancy
Er1 0.500 0.500 0.500 1
La1 0.000 0.000 0.000 1
Pr1 0.910 0.910 0.271 1
Pr2 0.090 0.090 0.729 1
# * E: -18.55 eV for the cell shown
# * symmetry: R-3m, No. 166
# * energy of formation from the pure elements: 126 meV/atom
# * offset from the most stable computed form: 0.450 eV/f.u.

***

# 11
# PBE KLiTc, relaxed
data_KLiTc
_cell_length_a 8.681
_cell_length_b 8.681
_cell_length_c 8.681
_cell_angle_alpha 162.08
_cell_angle_beta 162.08
_cell_angle_gamma 25.45
_space_group_name_H-M_alt 'P 1'
_space_group_IT_number 1
_space_group_name_Hall 'P 1'
loop_
_atom_site_label
_atom_site_fract_x
_atom_site_fract_y
_atom_site_fract_z
_atom_site_occupancy
Tc1 0.681 0.681 0.000 1
Li1 0.304 0.304 0.000 1
K1 0.015 0.015 0.000 1
# * E: -10.80 eV for the cell shown
# * symmetry: I4mm, No. 107
# * energy of formation from the pure elements: 860 meV/atom
# * offset from the most stable computed form: 0.000 eV/f.u.

***

# 12
# PBE Ta3NbRu, relaxed
data_Ta3NbRu
_cell_length_a 4.589
_cell_length_b 5.414
_cell_length_c 7.963
_cell_angle_alpha 103.67
_cell_angle_beta 90.00
_cell_angle_gamma 115.08
_space_group_name_H-M_alt 'P 1'
_space_group_IT_number 1
_space_group_name_Hall 'P 1'
loop_
_atom_site_label
_atom_site_fract_x
_atom_site_fract_y
_atom_site_fract_z
_atom_site_occupancy
Ta1 0.249 0.498 0.756 1
Ta2 0.944 0.888 0.655 1
Ta3 0.441 0.883 0.142 1
Ta4 0.751 0.502 0.244 1
Ta5 0.559 0.117 0.858 1
Ta6 0.056 0.112 0.345 1
Nb1 0.354 0.708 0.453 1
Nb2 0.646 0.292 0.547 1
Ru1 0.155 0.311 0.053 1
Ru2 0.845 0.689 0.947 1
# * E: -111.81 eV for the cell shown
# * symmetry: C2/m, No. 12
# * energy of formation from the pure elements: -200 meV/atom
# * offset from the most stable computed form: 0.000 eV/f.u.